(1)
NiTe2Pt | PBE | optimized geometry

Cell lengths 4.8443, 4.8443, 4.8443 Å; angles 60.00, 60.00, 60.00 degrees
Last column: nearest neighbours and their distance in Å.
Positions (direct):
Ni 0.0000 0.0000 0.0000  4 Te 2.97, 4 Pt 2.97
Te 0.5000 0.5000 0.5000  4 Te 2.97, 4 Pt 2.97
Te 0.7500 0.7500 0.7500  4 Te 2.97, 4 Ni 2.97
Pt 0.2500 0.2500 0.2500  4 Ni 2.97, 4 Te 2.97

For the magnetization, the calculation gives 0.0 μB/f.u. As for the space group: F-43m, No. 216. For the density of states at the Fermi level, the calculation gives 2.6 states/eV/f.u. The value obtained for the total energy is -3.976 eV per atom. The value obtained for the formation energy without anion corrections is 550 meV/atom.

(2)
NiTePt2 | PBE | optimized geometry

Cell lengths 5.4144, 5.4144, 5.4144 Å; angles 140.27, 137.31, 59.72 degrees
Last column: nearest neighbours and their distance in Å.
Positions (direct):
Ni 0.0000 0.0000 0.0000  2 Te 2.60, 6 Pt 2.67-2.70
Te 0.8049 0.3049 0.5000  2 Ni 2.60, 6 Pt 2.69-2.85
Pt 0.2060 0.7060 0.5000  2 Ni 2.67, 2 Pt 2.77, 4 Te 2.85
Pt 0.4992 0.4992 0.0000  2 Te 2.69, 4 Ni 2.70, 2 Pt 2.77

For the magnetization, the calculation gives 0.0 μB/f.u. As for the space group: Imm2, No. 44. For the density of states at the Fermi level, the calculation gives 1.1 states/eV/f.u. The value obtained for the total energy is -5.223 eV per atom. The value obtained for the formation energy without anion corrections is 28 meV/atom.

(3)
Ni2TePt | PBE | optimized geometry

Cell lengths 5.5873, 5.5873, 5.5873 Å; angles 102.91, 102.91, 123.57 degrees
Last column: nearest neighbours and their distance in Å.
Positions (direct):
Ni 0.1166 0.1250 0.4916  2 Te 2.51, 2 Pt 2.59, 2 Ni 2.64
Ni 0.3750 0.8834 0.0084  2 Te 2.51, 2 Pt 2.59, 2 Ni 2.64
Ni 0.6334 0.6250 0.5084  2 Te 2.51, 2 Pt 2.59, 2 Ni 2.64
Ni 0.8750 0.3666 0.9916  2 Te 2.51, 2 Pt 2.59, 2 Ni 2.64
Te 0.0000 0.0000 0.0000  4 Ni 2.51, 2 Pt 2.64
Te 0.7500 0.2500 0.5000  4 Ni 2.51, 2 Pt 2.64
Pt 0.2500 0.7500 0.5000  4 Ni 2.59, 2 Te 2.64
Pt 0.5000 0.5000 0.0000  4 Ni 2.59, 2 Te 2.64

For the magnetization, the calculation gives 0.0 μB/f.u. As for the space group: I-42d, No. 122. For the density of states at the Fermi level, the calculation gives 2.6 states/eV/f.u. The value obtained for the total energy is -5.061 eV per atom. The value obtained for the formation energy without anion corrections is 125 meV/atom.

(4)
Ni2TePt | PBE | optimized geometry

Cell lengths 4.8943, 4.8943, 4.8943 Å; angles 134.10, 134.10, 66.94 degrees
Last column: nearest neighbours and their distance in Å.
Positions (direct):
Ni 0.0000 0.0000 0.0000  4 Te 2.70, 4 Ni 2.79, 4 Pt 2.79
Ni 0.7500 0.2500 0.5000  4 Pt 2.70, 4 Ni 2.79, 4 Te 2.79
Te 0.5000 0.5000 0.0000  8 Ni 2.70-2.79, 4 Pt 2.79
Pt 0.2500 0.7500 0.5000  8 Ni 2.70-2.79, 4 Te 2.79

For the magnetization, the calculation gives 0.0 μB/f.u. As for the space group: I-4m2, No. 119. For the density of states at the Fermi level, the calculation gives 2.7 states/eV/f.u. The value obtained for the total energy is -5.149 eV per atom. The value obtained for the formation energy without anion corrections is 37 meV/atom.

(5)
NiTePt2 | PBE | optimized geometry

Cell lengths 9.7155, 9.7155, 9.7155 Å; angles 157.12, 157.12, 32.58 degrees
Last column: nearest neighbours and their distance in Å.
Positions (direct):
Ni 0.0000 0.0000 0.0000  4 Pt 2.69, 4 Te 2.73
Ni 0.7500 0.2500 0.5000  4 Pt 2.69, 4 Te 2.73
Te 0.2500 0.7500 0.5000  4 Pt 2.72, 4 Ni 2.73
Te 0.5000 0.5000 0.0000  4 Pt 2.72, 4 Ni 2.73
Pt 0.1142 0.6250 0.9892  4 Pt 2.67-2.78, 2 Ni 2.69, 2 Te 2.72
Pt 0.3750 0.3642 0.4892  4 Pt 2.67-2.78, 2 Ni 2.69, 2 Te 2.72
Pt 0.6358 0.1250 0.0108  4 Pt 2.67-2.78, 2 Ni 2.69, 2 Te 2.72
Pt 0.8750 0.8858 0.5108  4 Pt 2.67-2.78, 2 Ni 2.69, 2 Te 2.72

For the magnetization, the calculation gives 0.0 μB/f.u. As for the space group: I-42d, No. 122. For the density of states at the Fermi level, the calculation gives 2.9 states/eV/f.u. The value obtained for the total energy is -5.231 eV per atom. The value obtained for the formation energy without anion corrections is 20 meV/atom.

(6)
Ni2TePt | PBE | optimized geometry

Cell lengths 3.3200, 3.3326, 5.4520 Å; angles 90.00, 90.00, 90.00 degrees
Last column: nearest neighbours and their distance in Å.
Positions (direct):
Ni 0.0000 0.0000 0.2489  2 Ni 2.71-2.74, 4 Pt 2.72, 4 Te 2.72
Ni 0.0000 0.0000 0.7511  2 Ni 2.71-2.74, 4 Pt 2.72, 4 Te 2.72
Te 0.5000 0.5000 0.5000  8 Ni 2.72, 2 Pt 2.73
Pt 0.5000 0.5000 0.0000  8 Ni 2.72, 2 Te 2.73

For the magnetization, the calculation gives 0.0 μB/f.u. As for the space group: Pmmm, No. 47. For the density of states at the Fermi level, the calculation gives 2.7 states/eV/f.u. The value obtained for the total energy is -5.117 eV per atom. The value obtained for the formation energy without anion corrections is 70 meV/atom.